Compound: ZrMnSb2
Source: the Alexandria database
Functional: PBE-GGA
Structure: relaxed

Properties
DFT total energy   -0.4947 Ry/atom
N(E_F)   12.37 states/eV/cell
Formation energy from raw total energies   -240 meV/atom

a b c (Å): 14.810 4.141 5.841
angles (deg): 90.00 90.30 90.00
Space group Cm (No. 8)
Asymmetric unit:
Zr  0.000  0.000  0.000 x2
Zr  0.106  0.500  0.444 x2
Mn  0.195  0.000  0.161 x2
Mn  0.298  0.500  0.252 x2
Sb  0.139  0.500  0.940 x2
Sb  0.258  0.000  0.561 x2
Sb  0.359  0.000  0.001 x2
Sb  0.457  0.500  0.494 x2

***

Compound: Na2P2Pt
Source: the Alexandria database
Functional: PBE-GGA
Structure: relaxed

Properties
DFT total energy   -0.3274 Ry/atom
N(E_F)   2.66 states/eV/cell

a b c (Å): 6.120 6.120 4.802
angles (deg): 90.00 90.00 90.00
Space group P4/mbm (No. 127)
Asymmetric unit:
Na  0.179  0.321  0.000 x4
P  0.130  0.630  0.500 x4
Pt  0.000  0.000  0.500 x2

***

Compound: TlInOs2
Source: the Alexandria database
Functional: PBE-GGA
Structure: relaxed

Properties
DFT total energy   -0.4342 Ry/atom
Relative energy among the computed polymorphs   0.567 eV/atom
N(E_F)   7.47 states/eV/cell

a b c (Å): 3.055 5.149 9.213
angles (deg): 90.00 90.00 90.00
Space group Immm (No. 71)
Asymmetric unit:
Tl  0.000  0.000  0.000 x2
In  0.000  0.000  0.500 x2
Os  0.000  0.500  0.246 x4

***

Compound: KSi2As2
Source: the Alexandria database
Functional: PBE-GGA
Structure: relaxed

Properties
DFT total energy   -0.3130 Ry/atom
N(E_F)   2.99 states/eV/cell
Formation energy from raw total energies   -11 meV/atom

a b c (Å): 4.577 4.577 12.296
angles (deg): 90.00 90.00 90.00
Space group I4/mmm (No. 139)
Asymmetric unit:
K  0.000  0.000  0.000 x2
Si  0.000  0.500  0.250 x4
As  0.000  0.000  0.341 x4

***

Compound: Pm5Hg2Ir2Pd
Source: the Alexandria database
Functional: PBE-GGA
Structure: relaxed

Properties
DFT total energy   -0.3875 Ry/atom
N(E_F)   16.37 states/eV/cell

a b c (Å): 11.814 11.814 3.753
angles (deg): 90.00 90.00 90.00
Space group P4/mbm (No. 127)
Asymmetric unit:
Pm  0.000  0.500  0.000 x2
Pm  0.085  0.194  0.000 x8
Hg  0.171  0.671  0.500 x4
Ir  0.134  0.366  0.500 x4
Pd  0.000  0.000  0.500 x2

***

Compound: Y4ErZn5
Source: the Alexandria database
Functional: PBE-GGA
Structure: relaxed

Properties
DFT total energy   -0.2966 Ry/atom
N(E_F)   11.44 states/eV/cell

a b c (Å): 3.573 3.573 17.862
angles (deg): 90.00 90.00 90.00
Space group P4/mmm (No. 123)
Asymmetric unit:
Y  0.000  0.000  0.101 x2
Y  0.000  0.000  0.301 x2
Er  0.000  0.000  0.500 x1
Zn  0.500  0.500  0.000 x1
Zn  0.500  0.500  0.201 x2
Zn  0.500  0.500  0.403 x2

***

Compound: Ba2NiAgN
Source: the Alexandria database
Functional: PBE-GGA
Structure: relaxed

Properties
DFT total energy   -0.3314 Ry/atom
Relative energy among the computed polymorphs   0.000 eV/atom
N(E_F)   2.91 states/eV/cell
Formation energy from raw total energies   -348 meV/atom

a b c (Å): 5.855 5.855 3.611
angles (deg): 90.00 90.00 90.00
Space group P4/mmm (No. 123)
Asymmetric unit:
Ba  0.000  0.500  0.000 x2
Ni  0.000  0.000  0.500 x1
Ag  0.500  0.500  0.500 x1
N  0.000  0.000  0.000 x1

***

Compound: LaNb2RuSe
Source: the Alexandria database
Functional: PBE-GGA
Structure: relaxed

Properties
DFT total energy   -0.5206 Ry/atom
N(E_F)   6.07 states/eV/cell
Formation energy from raw total energies   483 meV/atom

a b c (Å): 4.805 4.805 5.324
angles (deg): 90.00 90.00 90.00
Space group P4/mmm (No. 123)
Asymmetric unit:
La  0.000  0.000  0.000 x1
Nb  0.000  0.500  0.500 x2
Ru  0.500  0.500  0.500 x1
Se  0.500  0.500  0.000 x1

***

Compound: LiPaAl2S6
Source: the Alexandria database
Functional: PBE-GGA
Structure: relaxed

Properties
DFT total energy   -0.4100 Ry/atom
Formation energy from raw total energies   -1212 meV/atom

a b c (Å): 12.322 11.456 6.611
angles (deg): 90.00 101.62 90.00
Space group C2/c (No. 15)
Asymmetric unit:
Li  0.000  0.203  0.250 x4
Pa  0.000  0.388  0.750 x4
Al  0.187  0.075  0.803 x8
S  0.116  0.424  0.134 x8
S  0.126  0.240  0.622 x8
S  0.138  0.083  0.109 x8

***

Compound: ZrSc3Cu
Source: the Alexandria database
Functional: PBE-GGA
Structure: relaxed

Properties
DFT total energy   -0.4432 Ry/atom
Relative energy among the computed polymorphs   0.000 eV/atom
N(E_F)   7.63 states/eV/cell

a b c (Å): 4.941 4.941 4.941
angles (deg): 90.00 90.00 90.00
Space group Pm-3m (No. 221)
Asymmetric unit:
Zr  0.000  0.000  0.000 x1
Sc  0.000  0.500  0.500 x3
Cu  0.500  0.500  0.500 x1

***

Compound: Te3Pt
Source: the Alexandria database
Functional: PBE-GGA
Structure: relaxed

Properties
DFT total energy   -0.2822 Ry/atom
N(E_F)   2.89 states/eV/cell
Formation energy from raw total energies   27 meV/atom

a b c (Å): 5.926 5.926 5.926
angles (deg): 90.00 90.00 90.00
Space group Im-3m (No. 229)
Asymmetric unit:
Te  0.000  0.000  0.500 x6
Pt  0.000  0.000  0.000 x2

***

Compound: GdScCdTc
Source: the Alexandria database
Functional: PBE-GGA
Structure: relaxed

Properties
DFT total energy   -0.5898 Ry/atom
N(E_F)   12.16 states/eV/cell

a b c (Å): 6.973 6.973 6.973
angles (deg): 90.00 90.00 90.00
Space group F-43m (No. 216)
Asymmetric unit:
Gd  0.000  0.000  0.000 x4
Sc  0.000  0.000  0.500 x4
Cd  0.250  0.250  0.250 x4
Tc  0.250  0.250  0.750 x4

***

Compound: Nd2TlPb3Se6
Source: the Alexandria database
Functional: PBE-GGA
Structure: relaxed

Properties
DFT total energy   -0.3417 Ry/atom
N(E_F)   7.90 states/eV/cell
Formation energy from raw total energies   -988 meV/atom

a b c (Å): 18.952 4.424 8.763
angles (deg): 90.00 99.77 90.00
Space group C2/m (No. 12)
Asymmetric unit:
Nd  0.169  0.000  0.335 x4
Tl  0.000  0.500  0.000 x2
Pb  0.000  0.500  0.500 x2
Pb  0.158  0.000  0.852 x4
Se  0.015  0.000  0.269 x4
Se  0.169  0.500  0.574 x4
Se  0.181  0.500  0.105 x4

***

Compound: AgSn2Au8
Source: the Alexandria database
Functional: PBE-GGA
Structure: relaxed

Properties
DFT total energy   -0.2503 Ry/atom
Relative energy among the computed polymorphs   0.000 eV/atom
N(E_F)   4.49 states/eV/cell

a b c (Å): 16.398 4.074 6.648
angles (deg): 90.00 106.66 90.00
Space group C2/m (No. 12)
Asymmetric unit:
Ag  0.000  0.000  0.000 x2
Sn  0.218  0.500  0.656 x4
Au  0.042  0.500  0.731 x4
Au  0.086  0.000  0.454 x4
Au  0.132  0.500  0.189 x4
Au  0.174  0.000  0.921 x4

***

Compound: SmU2As4
Source: the Alexandria database
Functional: PBE-GGA
Structure: relaxed

Properties
DFT total energy   -0.5339 Ry/atom
N(E_F)   44.08 states/eV/cell

a b c (Å): 4.074 13.519 13.149
angles (deg): 90.00 90.00 90.00
Space group Cmcm (No. 63)
Asymmetric unit:
Sm  0.000  0.112  0.250 x4
U  0.000  0.367  0.063 x8
As  0.000  0.000  0.000 x4
As  0.000  0.266  0.625 x8
As  0.000  0.455  0.250 x4

***

Compound: NiAu2Cl
Source: the Alexandria database
Functional: PBE-GGA
Structure: relaxed

Properties
DFT total energy   -0.2363 Ry/atom
Relative energy among the computed polymorphs   0.286 eV/atom
N(E_F)   15.58 states/eV/cell
Formation energy from raw total energies   331 meV/atom

a b c (Å): 8.669 8.669 4.372
angles (deg): 90.00 90.00 90.00
Space group I-42d (No. 122)
Asymmetric unit:
Ni  0.000  0.000  0.000 x4
Au  0.155  0.250  0.125 x8
Cl  0.000  0.000  0.500 x4

***

Compound: Cu4SiAu
Source: the Alexandria database
Functional: PBE-GGA
Structure: relaxed

Properties
DFT total energy   -0.2981 Ry/atom
Relative energy among the computed polymorphs   0.132 eV/atom
N(E_F)   5.71 states/eV/cell
Formation energy from raw total energies   124 meV/atom

a b c (Å): 6.884 6.884 6.884
angles (deg): 90.00 90.00 90.00
Space group F-43m (No. 216)
Asymmetric unit:
Cu  0.125  0.125  0.125 x16
Si  0.250  0.250  0.750 x4
Au  0.000  0.000  0.500 x4

***

Compound: CaEr4Ir5
Source: the Alexandria database
Functional: PBE-GGA
Structure: relaxed

Properties
DFT total energy   -0.5288 Ry/atom
N(E_F)   5.83 states/eV/cell

a b c (Å): 3.413 3.413 16.910
angles (deg): 90.00 90.00 90.00
Space group P4/mmm (No. 123)
Asymmetric unit:
Ca  0.000  0.000  0.000 x1
Er  0.000  0.000  0.202 x2
Er  0.000  0.000  0.401 x2
Ir  0.500  0.500  0.109 x2
Ir  0.500  0.500  0.303 x2
Ir  0.500  0.500  0.500 x1

***

Compound: Hg2WBr8
Source: the Alexandria database
Functional: PBE-GGA
Structure: relaxed

Properties
DFT total energy   -0.2100 Ry/atom
N(E_F)   1.31 states/eV/cell
Formation energy from raw total energies   -408 meV/atom

a b c (Å): 7.373 7.574 8.343
angles (deg): 88.60 85.22 64.76
Space group P-1 (No. 2)
Asymmetric unit:
Hg  0.173  0.343  0.154 x2
W  0.500  0.000  0.500 x1
Br  0.191  0.017  0.648 x2
Br  0.210  0.587  0.924 x2
Br  0.326  0.363  0.446 x2
Br  0.374  0.950  0.238 x2

***

Compound: Ho2Cr2C3
Source: the Alexandria database
Functional: PBE-GGA
Structure: relaxed

Properties
DFT total energy   -0.6128 Ry/atom
N(E_F)   8.85 states/eV/cell

a b c (Å): 10.417 3.367 5.543
angles (deg): 90.00 105.97 90.00
Space group C2/m (No. 12)
Asymmetric unit:
Ho  0.106  0.000  0.316 x4
Cr  0.157  0.500  0.889 x4
C  0.000  0.500  0.000 x2
C  0.215  0.000  0.769 x4

***

Compound: Zr4HgAu3
Source: the Alexandria database
Functional: PBE-GGA
Structure: relaxed

Properties
DFT total energy   -0.4341 Ry/atom
N(E_F)   7.77 states/eV/cell

a b c (Å): 3.119 5.151 10.260
angles (deg): 90.00 90.00 90.00
Space group Pmmm (No. 47)
Asymmetric unit:
Zr  0.000  0.000  0.000 x1
Zr  0.000  0.000  0.500 x1
Zr  0.000  0.500  0.243 x2
Hg  0.500  0.500  0.500 x1
Au  0.500  0.000  0.253 x2
Au  0.500  0.500  0.000 x1

***

Compound: Dy6NpS12
Source: the Alexandria database
Functional: PBE-GGA
Structure: relaxed

Properties
DFT total energy   -0.4812 Ry/atom
Formation energy from raw total energies   -1807 meV/atom

a b c (Å): 11.8905 11.8905 11.3101
angles (deg): 90.00 90.00 120.00
Space group R-3 (No. 148, hexagonal axes)
Asymmetric unit:
Dy  0.0424  0.2655  0.1325 x18
Np  0.0000  0.0000  0.5000 x3
S  0.0293  0.2172  0.8936 x18
S  0.0484  0.1990  0.3782 x18